(1)
The following is a DFT calculation (PBE-GGA) of crystalline CaInP2O8 at its relaxed geometry.

For the calculated density, the calculation gives 3.4 g/cm³. The formation energy (no corrections) comes out at -2143 meV/atom. The density of states at the Fermi level comes out at 7.35 states/eV/f.u. For the total energy, the calculation gives -80.95 eV/f.u.

The space group is P-3 (No. 147) and the conventional cell measures 5.2752, 5.2752 and 6.9220 Å, with angles of 90.00, 90.00 and 120.00 degrees. Symmetry generates all atoms from Ca at (0.0000, 0.0000, 0.0000), In at (0.0000, 0.0000, 0.5000), P at (0.3333, 0.6667, 0.7777), O at (0.1703, 0.8264, 0.7108) and O at (0.3333, 0.6667, 0.0008).



(2)
The following is a DFT calculation (PBE-GGA) of crystalline Li4Nd3Ag4 at its relaxed geometry.

For the calculated density, the calculation gives 5.9 g/cm³. Its energy above the lowest structure with this stoichiometry is 0 meV/atom. The density of states at the Fermi level comes out at 7.57 states/eV/f.u. The value obtained for the calculated formation energy is -0.17 eV/atom. For the total energy, the calculation gives -35.23 eV/f.u.

The space group is Immm (No. 71) and the conventional cell measures 4.2449, 7.9187 and 14.8440 Å, with angles of 90.00, 90.00 and 90.00 degrees. Symmetry generates all atoms from Li at (0.0000, 0.1933, 0.1761), Nd at (0.0000, 0.0000, 0.3774), Nd at (0.0000, 0.5000, 0.5000), Ag at (0.0000, 0.3086, 0.0000) and Ag at (0.0000, 0.5000, 0.2822).



(3)
The following is a DFT calculation (PBE-GGA) of crystalline Sr2GePd at its relaxed geometry.

For the calculated density, the calculation gives 5.0 g/cm³. The density of states at the Fermi level comes out at 2.16 states/eV/f.u. The value obtained for the calculated formation energy is -0.62 eV/atom. For the total energy, the calculation gives -15.67 eV/f.u.

The space group is Amm2 (No. 38) and the conventional cell measures 4.5347, 4.8083 and 10.8048 Å, with angles of 90.00, 90.00 and 90.00 degrees. Symmetry generates all atoms from Sr at (0.0000, 0.0000, 0.0000), Sr at (0.5000, 0.0000, 0.2872), Ge at (0.0000, 0.0000, 0.6944) and Pd at (0.5000, 0.0000, 0.5902).



(4)
The following is a DFT calculation (PBE-GGA) of crystalline BiP2IrS at its relaxed geometry.

For the calculated density, the calculation gives 7.7 g/cm³. The formation energy (no corrections) comes out at 428 meV/atom. Its energy above the lowest structure with this stoichiometry is 0 meV/atom. The density of states at the Fermi level comes out at 3.92 states/eV/f.u. For the total energy, the calculation gives -25.55 eV/f.u.

The space group is P4/mmm (No. 123) and the conventional cell measures 4.5234, 4.5234 and 5.1919 Å, with angles of 90.00, 90.00 and 90.00 degrees. Symmetry generates all atoms from Bi at (0.0000, 0.0000, 0.0000), P at (0.0000, 0.5000, 0.5000), Ir at (0.5000, 0.5000, 0.5000) and S at (0.5000, 0.5000, 0.0000).



(5)
The following is a DFT calculation (PBE-GGA) of crystalline ScPd3Pt2 at its relaxed geometry.

For the calculated density, the calculation gives 13.0 g/cm³. The density of states at the Fermi level comes out at 5.11 states/eV/f.u. The value obtained for the calculated formation energy is -0.60 eV/atom. For the total energy, the calculation gives -37.58 eV/f.u.

The space group is Pmmn (No. 59, origin choice 2) and the conventional cell measures 4.5921, 8.5461 and 4.9024 Å, with angles of 90.00, 90.00 and 90.00 degrees. Symmetry generates all atoms from Sc at (0.2500, 0.2500, 0.0868), Pd at (0.2500, 0.0796, 0.5890), Pd at (0.2500, 0.7500, 0.5759) and Pt at (0.2500, 0.5807, 0.0913).



(6)
The following is a DFT calculation (PBE-GGA) of crystalline AlReRu2 at its relaxed geometry.

For the calculated density, the calculation gives 8.3 g/cm³. The density of states at the Fermi level comes out at 0.76 states/eV/f.u. The value obtained for the calculated formation energy is 0.99 eV/atom. For the total energy, the calculation gives -30.79 eV/f.u.

The space group is I-42d (No. 122) and the conventional cell measures 5.9035, 5.9035 and 9.5536 Å, with angles of 90.00, 90.00 and 90.00 degrees. Symmetry generates all atoms from Al at (0.0000, 0.0000, 0.0000), Re at (0.0000, 0.0000, 0.5000) and Ru at (0.2387, 0.2500, 0.6250).